Run a
DFT (PBE-GGA) results for crystalline H2PbN at its relaxed geometry.

Total magnetization (μB per atom): 0.000
Symmetry: R-3m

Structure (extended XYZ):
```
4
Lattice="-2.8712 -0.4784 -0.8076 -0.6326 -1.1403 -2.7248 -0.9212 -5.2576 0.7398" Properties=species:S:1:pos:R:3 pbc="T T T"
H -1.0487 -2.8199 -0.2508
H -3.3764 -4.0564 -2.5418
N -2.2125 -3.4381 -1.3963
Pb 0.0000 0.0000 0.0000
```


Run b
DFT (PBE-GGA) results for crystalline H2PbN at its relaxed geometry.

Total magnetization (μB per atom): 0.000
Symmetry: Fm-3m

Structure (extended XYZ):
```
4
Lattice="2.4038 -0.8543 2.8951 -1.3086 -0.0994 3.6287 -0.3220 -3.3748 1.8431" Properties=species:S:1:pos:R:3 pbc="T T T"
H 0.5799 -3.2464 6.2752
H 0.1933 -1.0821 2.0917
Pb 0.3866 -2.1643 4.1835
N 0.0000 0.0000 0.0000
```


Run c
DFT (PBE-GGA) results for crystalline H2PbN at its relaxed geometry.

Total magnetization (μB per atom): 0.000
Symmetry: I4_1/amd

Structure (extended XYZ):
```
8
Lattice="-3.7899 -2.2755 -1.9830 1.4255 -4.1552 2.0435 -3.0287 -2.5109 2.7508" Properties=species:S:1:pos:R:3 pbc="T T T"
Pb -4.0004 -4.0008 0.3990
Pb 0.0000 0.0000 0.0000
N -1.1822 -3.2154 0.0302
N -1.3927 -4.9407 2.4123
H -2.8015 -5.3343 2.5971
H -1.2882 -4.0785 1.2209
H -1.9995 -2.0000 0.1999
H -4.6970 -6.4704 1.6048
```


So which one is most stable? That would be run c, about 535 meV per atom below the next structure.


Run a
DFT (PBE-GGA) results for crystalline H3PbN at its relaxed geometry.

Total magnetization (μB per atom): 0.543
Symmetry: Pm-3m

Structure (extended XYZ):
```
5
Lattice="4.0833 0.0000 0.0000 0.0000 4.0833 0.0000 0.0000 0.0000 4.0833" Properties=species:S:1:pos:R:3 pbc="T T T"
H 2.0417 0.0000 0.0000
H 0.0000 0.0000 2.0417
H 0.0000 2.0417 0.0000
Pb 0.0000 0.0000 0.0000
N 2.0417 2.0417 2.0417
```


Run b
DFT (PBE-GGA) results for crystalline H3PbN at its relaxed geometry.

Total magnetization (μB per atom): 0.000
Symmetry: Pm-3m

Structure (extended XYZ):
```
5
Lattice="-0.1571 -1.5065 3.1989 -0.4479 -3.1678 -1.5138 3.5074 -0.4720 -0.0501" Properties=species:S:1:pos:R:3 pbc="T T T"
H -0.2240 -1.5839 -0.7569
H -0.0785 -0.7532 1.5994
H 1.7537 -0.2360 -0.0250
Pb 1.4512 -2.5731 0.8175
N 0.0000 0.0000 0.0000
```


So which one is most stable? That would be run b, about 226 meV per atom below the next structure.


Run a
DFT (PBE-GGA) results for crystalline HPbN at its relaxed geometry.

Total magnetization (μB per atom): 0.000
Symmetry: I4mm

Structure (extended XYZ):
```
3
Lattice="-3.4416 -1.6961 -0.4777 -0.4266 -0.2149 3.8369 0.6124 3.6366 -1.6764" Properties=species:S:1:pos:R:3 pbc="T T T"
N -0.9452 1.9173 0.0023
H -2.0167 -0.7880 1.6798
Pb -3.1533 1.5174 1.6826
```


Run b
DFT (PBE-GGA) results for crystalline HPbN at its relaxed geometry.

Total magnetization (μB per atom): 0.000
Symmetry: Pmmn

Structure (extended XYZ):
```
6
Lattice="-2.9898 -0.2389 -4.3208 -3.8453 -2.6767 2.8087 -1.5920 3.2539 0.9215" Properties=species:S:1:pos:R:3 pbc="T T T"
Pb -4.1245 1.6138 -1.4528
Pb -4.3026 -1.2754 0.8621
H -1.9812 0.0946 0.0338
H -6.4458 0.2437 -0.6244
N -2.5654 0.0480 -0.8105
N -5.8616 0.2904 0.2199
```


So which one is most stable? That would be run b, about 249 meV per atom below the next structure.


Run a
DFT (PBE-GGA) results for crystalline HPb2N at its relaxed geometry.

Total magnetization (μB per atom): 0.000
Symmetry: Fm-3m

Structure (extended XYZ):
```
4
Lattice="0.0000 3.2446 3.2446 3.2446 0.0000 3.2446 3.2446 3.2446 0.0000" Properties=species:S:1:pos:R:3 pbc="T T T"
Pb 4.8669 4.8669 4.8669
Pb 1.6223 1.6223 1.6223
H 0.0000 0.0000 0.0000
N 3.2446 3.2446 3.2446
```


Run b
DFT (PBE-GGA) results for crystalline HPb2N at its relaxed geometry.

Total magnetization (μB per atom): 0.000
Symmetry: I-42d

Structure (extended XYZ):
```
8
Lattice="-0.5217 -5.6303 0.1581 5.1512 -0.4128 2.3005 0.2351 -2.6965 5.9443" Properties=species:S:1:pos:R:3 pbc="T T T"
N 1.0140 -5.6742 3.6658
N 0.0000 0.0000 0.0000
Pb 1.9176 -4.2889 5.3825
Pb 4.2219 -7.3096 6.6072
Pb 3.2125 -1.6416 2.9438
Pb 0.3771 -4.2390 1.8723
H 2.3147 -3.0215 1.2293
H 3.8505 -3.0654 4.7371
```


So which one is most stable? That would be run b, about 266 meV per atom below the next structure.


Run a
DFT (PBE-GGA) results for crystalline H2Pb2N at its relaxed geometry.

Total magnetization (μB per atom): 0.000
Symmetry: I4/mmm

Structure (extended XYZ):
```
5
Lattice="3.4181 0.0000 0.0000 0.0000 3.4181 0.0000 1.7090 1.7090 6.1884" Properties=species:S:1:pos:R:3 pbc="T T T"
Pb 1.7090 1.7090 1.5176
Pb 3.4181 3.4181 4.6708
N 0.0000 0.0000 0.0000
H 1.7090 3.4181 3.0942
H 3.4181 1.7090 3.0942
```


Run b
DFT (PBE-GGA) results for crystalline H2Pb2N at its relaxed geometry.

Total magnetization (μB per atom): 0.005
Symmetry: P4/mbm

Structure (extended XYZ):
```
10
Lattice="6.5557 0.0000 0.0000 0.0000 6.5557 0.0000 0.0000 0.0000 4.0371" Properties=species:S:1:pos:R:3 pbc="T T T"
H 5.1268 4.7067 2.0185
H 1.4289 1.8490 2.0185
H 4.7067 1.4289 2.0185
H 1.8490 5.1268 2.0185
N 3.2779 3.2779 0.0000
N 0.0000 0.0000 0.0000
Pb 1.1352 2.1427 0.0000
Pb 4.4130 1.1352 0.0000
Pb 2.1427 5.4205 0.0000
Pb 5.4205 4.4130 0.0000
```


So which one is most stable? That would be run b, about 30 meV per atom below the next structure.


Run a
DFT (PBE-GGA) results for crystalline HPbSeN2 at its relaxed geometry.

Total magnetization (μB per atom): 0.965
Symmetry: P4/mmm

Structure (extended XYZ):
```
5
Lattice="5.4921 0.0000 0.0000 0.0000 5.4921 0.0000 0.0000 0.0000 3.7395" Properties=species:S:1:pos:R:3 pbc="T T T"
Se 0.0000 0.0000 1.8697
Pb 2.7460 2.7460 1.8697
H 0.0000 0.0000 0.0000
N 0.0000 2.7460 0.0000
N 2.7460 0.0000 0.0000
```


Run b
DFT (PBE-GGA) results for crystalline HPbSeN2 at its relaxed geometry.

Total magnetization (μB per atom): 0.690
Symmetry: P4/mmm

Structure (extended XYZ):
```
5
Lattice="4.5793 0.0000 0.0000 0.0000 4.5793 0.0000 0.0000 0.0000 5.8095" Properties=species:S:1:pos:R:3 pbc="T T T"
N 2.2897 0.0000 0.0000
N 0.0000 2.2897 0.0000
H 2.2897 2.2897 2.9048
Pb 0.0000 0.0000 0.0000
Se 0.0000 0.0000 2.9048
```


So which one is most stable? That would be run a, about 80 meV per atom below the next structure.


Run a
DFT (PBE-GGA) results for crystalline TeHPbN2 at its relaxed geometry.

Total magnetization (μB per atom): 0.281
Symmetry: P4/mmm

Structure (extended XYZ):
```
5
Lattice="-2.5448 -3.6701 0.9008 3.5345 -2.6959 -0.9985 1.0395 0.1097 3.3835" Properties=species:S:1:pos:R:3 pbc="T T T"
N -1.2724 -1.8350 0.4504
N 1.7672 -1.3479 -0.4993
H 0.0000 0.0000 0.0000
Te 0.5198 0.0548 1.6918
Pb 1.0146 -3.1281 1.6429
```


Run b
DFT (PBE-GGA) results for crystalline TeHPbN2 at its relaxed geometry.

Total magnetization (μB per atom): 0.687
Symmetry: P4/mmm

Structure (extended XYZ):
```
5
Lattice="4.3578 0.0000 0.0000 0.0000 4.3578 0.0000 0.0000 0.0000 6.3619" Properties=species:S:1:pos:R:3 pbc="T T T"
H 2.1789 2.1789 3.1810
Te 0.0000 0.0000 3.1810
N 0.0000 2.1789 0.0000
N 2.1789 0.0000 0.0000
Pb 0.0000 0.0000 0.0000
```


So which one is most stable? That would be run a, about 365 meV per atom below the next structure.


Run a
DFT (PBE-GGA) results for crystalline Zn2HPbN at its relaxed geometry.

Total magnetization (μB per atom): 0.000
Symmetry: P4/mmm

Structure (extended XYZ):
```
5
Lattice="3.6371 0.0000 0.0000 0.0000 6.0613 0.0000 0.0000 0.0000 3.6371" Properties=species:S:1:pos:R:3 pbc="T T T"
Zn 1.8186 0.0000 0.0000
Zn 0.0000 0.0000 1.8186
H 0.0000 0.0000 0.0000
Pb 0.0000 3.0306 0.0000
N 1.8186 3.0306 1.8186
```


Run b
DFT (PBE-GGA) results for crystalline Zn2HPbN at its relaxed geometry.

Total magnetization (μB per atom): 0.445
Symmetry: P4/mmm

Structure (extended XYZ):
```
5
Lattice="-0.3566 -5.3312 -0.9060 0.7970 -0.6971 3.7882 -5.2949 0.1599 1.1435" Properties=species:S:1:pos:R:3 pbc="T T T"
Pb 0.0000 0.0000 0.0000
Zn -0.1783 -2.6656 -0.4530
Zn -2.6475 0.0799 0.5717
H 0.3985 -0.3486 1.8941
N -2.4273 -2.9342 2.0128
```


So which one is most stable? That would be run a, about 507 meV per atom below the next structure.


Run a
DFT (PBE-GGA) results for crystalline HPd2N at its relaxed geometry.

Total magnetization (μB per atom): 0.000
Symmetry: I-42d

Structure (extended XYZ):
```
8
Lattice="-0.1668 4.3275 1.4303 -1.7521 -1.3822 3.9775 3.1203 1.0809 4.3650" Properties=species:S:1:pos:R:3 pbc="T T T"
N 0.0000 0.0000 0.0000
N 0.9970 3.4405 4.2496
Pd 0.7100 3.4263 7.8947
Pd 1.5718 1.8767 5.4125
Pd -0.3405 0.0679 3.7958
Pd 0.4615 2.6816 2.4425
H 0.2044 0.5857 5.5232
H -0.9595 1.4727 2.7039
```


Run b
DFT (PBE-GGA) results for crystalline HPd2N at its relaxed geometry.

Total magnetization (μB per atom): 0.000
Symmetry: Fm-3m

Structure (extended XYZ):
```
4
Lattice="0.0000 2.7432 2.7432 2.7432 0.0000 2.7432 2.7432 2.7432 0.0000" Properties=species:S:1:pos:R:3 pbc="T T T"
Pd 4.1148 4.1148 4.1148
Pd 1.3716 1.3716 1.3716
N 2.7432 2.7432 2.7432
H 0.0000 0.0000 0.0000
```


So which one is most stable? That would be run a, about 595 meV per atom below the next structure.


Run a
DFT (PBE-GGA) results for crystalline HPdN at its relaxed geometry.

Total magnetization (μB per atom): 0.000
Symmetry: P-1

Structure (extended XYZ):
```
12
Lattice="2.7845 0.6031 0.5521 1.1808 5.6965 0.8382 1.4854 1.8215 12.2578" Properties=species:S:1:pos:R:3 pbc="T T T"
N 2.0949 4.7044 12.1224
N 3.3559 3.4167 1.5257
N 2.4042 5.9149 1.6373
N 3.0466 2.2062 12.0108
Pd 2.2298 4.7511 7.9655
Pd 1.6384 1.9027 7.5464
Pd 3.2210 3.3700 5.6826
Pd 3.8124 6.2184 6.1018
H 1.7162 4.0389 4.9272
H 4.3235 6.9300 9.1401
H 1.1273 1.1911 4.5080
H 3.7346 4.0822 8.7209
```


Run b
DFT (PBE-GGA) results for crystalline HPdN at its relaxed geometry.

Total magnetization (μB per atom): 0.000
Symmetry: Cm

Structure (extended XYZ):
```
6
Lattice="-3.0847 -0.2607 0.7747 -1.1655 -1.6636 2.4612 0.7698 6.0848 4.1857" Properties=species:S:1:pos:R:3 pbc="T T T"
H -0.7545 0.1143 0.9537
H -1.8900 0.7154 2.7459
N -0.0883 5.3469 4.5484
N -2.6043 0.6369 3.4934
Pd -1.5344 3.9475 5.0299
Pd -0.4824 2.6713 2.7711
```


So which one is most stable? That would be run a, about 349 meV per atom below the next structure.


Run a
DFT (PBE-GGA) results for crystalline HPdSN2 at its relaxed geometry.

Total magnetization (μB per atom): 0.775
Symmetry: P4/mmm

Structure (extended XYZ):
```
5
Lattice="-0.9788 -3.1561 2.1423 2.7874 0.9180 2.6261 -3.3599 2.7987 2.5879" Properties=species:S:1:pos:R:3 pbc="T T T"
S -1.6800 1.3993 1.2940
H -0.7757 0.2803 3.6781
N -0.4894 -1.5781 1.0711
N 1.3937 0.4590 1.3130
Pd 0.0000 0.0000 0.0000
```


Run b
DFT (PBE-GGA) results for crystalline HPdSN2 at its relaxed geometry.

Total magnetization (μB per atom): 0.000
Symmetry: P4/mmm

Structure (extended XYZ):
```
5
Lattice="3.8843 0.0000 0.0000 0.0000 3.8843 0.0000 0.0000 0.0000 3.1120" Properties=species:S:1:pos:R:3 pbc="T T T"
Pd 1.9422 1.9422 1.5560
S 0.0000 0.0000 1.5560
N 1.9422 0.0000 0.0000
N 0.0000 1.9422 0.0000
H 0.0000 0.0000 0.0000
```


So which one is most stable? That would be run b, about 48 meV per atom below the next structure.


Run a
DFT (PBE-GGA) results for crystalline Pm2HN at its relaxed geometry.

Total magnetization (μB per atom): 0.000
Symmetry: R-3m

Structure (extended XYZ):
```
4
Lattice="-0.7915 -0.9817 -3.3796 -1.5489 -3.1954 -0.6341 -6.1370 1.0990 -0.8070" Properties=species:S:1:pos:R:3 pbc="T T T"
H -4.2387 -1.5390 -2.4103
Pm -2.0017 -0.8242 -1.2168
Pm -6.4757 -2.2538 -3.6039
N 0.0000 0.0000 0.0000
```


Run b
DFT (PBE-GGA) results for crystalline Pm2HN at its relaxed geometry.

Total magnetization (μB per atom): 0.000
Symmetry: Pmmn

Structure (extended XYZ):
```
8
Lattice="3.5140 0.0000 0.0000 0.0000 6.2146 0.0000 0.0000 0.0000 6.1770" Properties=species:S:1:pos:R:3 pbc="T T T"
N 2.6355 1.5536 0.4050
N 0.8785 4.6609 5.7720
Pm 2.6355 3.1405 4.7309
Pm 0.8785 3.0740 1.4461
Pm 0.8785 0.0333 1.4461
Pm 2.6355 6.1813 4.7309
H 2.6355 4.6609 2.4467
H 0.8785 1.5536 3.7303
```


Run c
DFT (PBE-GGA) results for crystalline Pm2HN at its relaxed geometry.

Total magnetization (μB per atom): 0.000
Symmetry: R3m

Structure (extended XYZ):
```
4
Lattice="-2.7932 -1.0687 1.9521 -0.9459 -3.4437 0.0282 2.4612 -2.4835 5.4291" Properties=species:S:1:pos:R:3 pbc="T T T"
N -0.0334 -5.4912 6.7470
H -0.5844 -3.5123 3.7749
Pm -0.4419 -1.7166 1.6949
Pm 1.6039 -2.2570 4.3264
```


So which one is most stable? That would be run a, about 66 meV per atom below the next structure.